Computed, not measured: a relaxed structure of SrZn3Rh at the PBE-GGA level of DFT.

Properties
The density of states at the Fermi level is 2.163 states/eV/f.u. The mass density is 6.50 Mg/m³. As for the symmetry: P2_1/c (14). The energy of formation comes out at -0.297 eV per atom.

Cell: 25.525 5.756 8.831 Å, 90.00 162.26 90.00°
Fractional positions:
Sr 0.403 0.601 0.423
Sr 0.597 0.399 0.577
Sr 0.097 0.101 0.077
Sr 0.903 0.899 0.923
Zn 0.322 0.101 0.016
Zn 0.678 0.899 0.984
Zn 0.178 0.601 0.484
Zn 0.822 0.399 0.516
Zn 0.229 0.088 0.044
Zn 0.771 0.912 0.956
Zn 0.271 0.588 0.456
Zn 0.729 0.412 0.544
Zn 0.555 0.791 0.154
Zn 0.445 0.209 0.846
Zn 0.945 0.291 0.346
Zn 0.055 0.709 0.654
Rh 0.063 0.372 0.396
Rh 0.937 0.628 0.604
Rh 0.437 0.872 0.104
Rh 0.563 0.128 0.896



Computed, not measured: a relaxed structure of Ti3InAu at the PBE-GGA level of DFT.

Properties
The density of states at the Fermi level is 3.403 states/eV/f.u. The mass density is 6.47 Mg/m³. As for the symmetry: Pm-3m (221). The energy of formation comes out at 0.532 eV per atom.

Cell: 4.889 4.889 4.889 Å, 90.00 90.00 90.00°
Fractional positions:
Ti 0.000 0.500 0.000
Ti 0.000 0.000 0.500
Ti 0.500 0.000 0.000
Au 0.000 0.000 0.000
In 0.500 0.500 0.500



Computed, not measured: a relaxed structure of Zr6MoRh5 at the PBE-GGA level of DFT.

Properties
The density of states at the Fermi level is 8.686 states/eV/f.u. The mass density is 8.88 Mg/m³. As for the symmetry: Cmmm (65). The energy of formation comes out at -0.681 eV per atom.

Cell: 4.659 6.652 7.362 Å, 90.00 71.55 90.00°
Fractional positions:
Mo 0.000 0.000 0.000
Rh 0.667 0.500 0.666
Rh 0.332 0.000 0.336
Rh 0.000 0.500 0.000
Rh 0.668 0.000 0.664
Rh 0.333 0.500 0.334
Zr 0.834 0.749 0.332
Zr 0.834 0.251 0.332
Zr 0.500 0.249 0.000
Zr 0.500 0.751 0.000
Zr 0.166 0.749 0.668
Zr 0.166 0.251 0.668



Computed, not measured: a relaxed structure of SrTbNdMg at the PBE-GGA level of DFT.

Properties
The density of states at the Fermi level is 3.158 states/eV/f.u. The mass density is 5.00 Mg/m³. As for the symmetry: F-43m (216). The energy of formation comes out at 0.139 eV per atom.

Cell: 5.800 5.800 5.800 Å, 60.00 60.00 60.00°
Fractional positions:
Nd 0.250 0.250 0.250
Mg 0.000 0.000 0.000
Tb 0.500 0.500 0.500
Sr 0.750 0.750 0.750